Record 1
The following is a PBE with a Hubbard U calculation of a relaxed structure of CrIn2F8, from Alexandria via LeMat-Bulk.

For the excess energy over the best structure of this formula in the dataset, the calculation gives 0 meV per atom. As for the uncorrected energy: -55.43 eV/f.u.

Cell: 5.2561 5.6001 5.6001 Å, 74.28 100.21 100.21°
Site moments in Bohr magnetons follow the coordinates.
Element x y z (fractional)
F (0.2544, 0.4391, 0.4391)  0.00
F (0.1887, 0.8314, 0.8314)  0.01
F (0.8113, 0.1686, 0.1686)  0.01
F (0.6942, 0.6626, 0.0467)  0.00
F (0.3058, 0.9533, 0.3374)  0.00
F (0.6942, 0.0467, 0.6626)  0.00
F (0.7456, 0.5609, 0.5609)  0.00
F (0.3058, 0.3374, 0.9533)  0.00
In (0.5622, 0.3186, 0.3186)  0.01
In (0.4378, 0.6814, 0.6814)  0.01
Cr (0.0000, 0.0000, 0.0000)  3.81


Record 2
The following is a PBE with a Hubbard U calculation of a relaxed structure of CrIn2F8, from Alexandria via LeMat-Bulk.

For the excess energy over the best structure of this formula in the dataset, the calculation gives 68 meV per atom. As for the uncorrected energy: -54.68 eV/f.u.

Cell: 4.4176 6.3819 6.3819 Å, 66.44 89.73 89.73°
Site moments in Bohr magnetons follow the coordinates.
Element x y z (fractional)
F (0.7437, 0.4172, 0.4172)  0.00
F (0.7366, 0.8164, 0.8164)  0.01
F (0.2634, 0.1836, 0.1836)  0.01
F (0.2264, 0.1124, 0.6914)  0.00
F (0.7736, 0.8876, 0.3086)  0.00
F (0.2264, 0.6914, 0.1124)  0.00
F (0.2563, 0.5828, 0.5828)  0.00
F (0.7736, 0.3086, 0.8876)  0.00
In (0.7514, 0.6294, 0.6294)  0.02
In (0.2486, 0.3706, 0.3706)  0.02
Cr (0.0000, 0.0000, 0.0000)  3.78